Record 1
Material: NbCl5
Method: DFT, PBE
State: optimized geometry

Unit cell a=10.1152 b=3.6247 c=8.6266 alpha=90.00 beta=90.00 gamma=90.00
Fractional positions:
Nb (0.2500, 0.0000, 0.2102)
Nb (0.7500, 0.0000, 0.7898)
Cl (0.0000, 0.0000, 0.0000)
Cl (0.0838, 0.5000, 0.2872)
Cl (0.2500, 0.0000, 0.4891)
Cl (0.2500, 0.5000, 0.0036)
Cl (0.4162, 0.5000, 0.2872)
Cl (0.5000, 0.0000, 0.0000)
Cl (0.5838, 0.5000, 0.7128)
Cl (0.7500, 0.0000, 0.5109)
Cl (0.7500, 0.5000, 0.9964)
Cl (0.9162, 0.5000, 0.7128)

## Properties
Magnetization, Bohr magnetons per cell: 0.000
Formation energy from raw total energies, meV/atom: -770.1
SG: Pmma (51)

=====

Record 2
Material: LiEu3Ru
Method: DFT, PBE
State: optimized geometry

Unit cell a=5.5594 b=5.5594 c=5.5594 alpha=90.00 beta=90.00 gamma=90.00
Fractional positions:
Li (0.0000, 0.0000, 0.0000)
Eu (0.0000, 0.5000, 0.5000)
Eu (0.5000, 0.0000, 0.5000)
Eu (0.5000, 0.5000, 0.0000)
Ru (0.5000, 0.5000, 0.5000)

## Properties
Magnetization, Bohr magnetons per cell: 20.956
Formation energy from the elements, eV per atom: 0.09
SG: Pm-3m (221)

=====

> magnetization of number 2 (LiEu3Ru)?

20.956 Bohr magnetons per cell